Record 1
CaAcGdAl: relaxed, PBE.

- magnetic moment (μB/f.u.) = 7.251

Unit cell a=5.6342 b=5.6342 c=5.6342 alpha=60.00 beta=60.00 gamma=60.00
Last column: nearest neighbours and their distance in Å.
Atoms (fractional coordinates):
Ca (0.0000, 0.0000, 0.0000)  4 Gd 3.45, 4 Ac 3.45
Ac (0.2500, 0.2500, 0.2500)  4 Al 3.45, 4 Ca 3.45
Gd (0.7500, 0.7500, 0.7500)  4 Al 3.45, 4 Ca 3.45
Al (0.5000, 0.5000, 0.5000)  4 Ac 3.45, 4 Gd 3.45

Record 2
CaAc2Al3Hg4: relaxed, PBE.

- magnetic moment (μB/f.u.) = 0.000

Unit cell a=4.7177 b=4.7177 c=11.8689 alpha=90.00 beta=90.00 gamma=90.00
Last column: nearest neighbours and their distance in Å.
Atoms (fractional coordinates):
Ca (0.0000, 0.0000, 0.0000)  4 Hg 2.98, 4 Al 3.34
Ac (0.0000, 0.5000, 0.7235)  4 Al 3.53, 8 Hg 3.55-3.64
Ac (0.5000, 0.0000, 0.2765)  4 Al 3.53, 8 Hg 3.55-3.64
Al (0.0000, 0.5000, 0.3748)  5 Hg 2.63-2.79
Al (0.5000, 0.0000, 0.6252)  5 Hg 2.63-2.79
Al (0.5000, 0.5000, 0.0000)  4 Hg 2.98, 4 Ca 3.34
Hg (0.0000, 0.0000, 0.5000)  4 Al 2.79
Hg (0.0000, 0.5000, 0.1532)  1 Al 2.63
Hg (0.5000, 0.0000, 0.8468)  1 Al 2.63
Hg (0.5000, 0.5000, 0.5000)  4 Al 2.79

Record 3
CaAcAl2Hg2: relaxed, PBE.

- magnetic moment (μB/f.u.) = 0.000

Unit cell a=4.7535 b=4.7535 c=7.9551 alpha=90.00 beta=90.00 gamma=120.00
Last column: nearest neighbours and their distance in Å.
Atoms (fractional coordinates):
Ca (0.0000, 0.0000, 0.0000)  6 Hg 3.24, 6 Al 3.29
Ac (0.0000, 0.0000, 0.5000)  6 Al 3.49, 6 Hg 3.55
Al (0.3333, 0.6667, 0.2291)  3 Hg 2.75
Al (0.6667, 0.3333, 0.7709)  3 Hg 2.75
Hg (0.3333, 0.6667, 0.7825)  3 Al 2.75
Hg (0.6667, 0.3333, 0.2175)  3 Al 2.75

Record 4
CaAcMgAl: relaxed, PBE.

- magnetic moment (μB/f.u.) = 0.000

Unit cell a=5.5696 b=5.5696 c=5.5696 alpha=60.00 beta=60.00 gamma=60.00
Last column: nearest neighbours and their distance in Å.
Atoms (fractional coordinates):
Ca (0.0000, 0.0000, 0.0000)  4 Mg 3.41, 4 Al 3.41
Ac (0.5000, 0.5000, 0.5000)  4 Mg 3.41, 4 Al 3.41
Mg (0.7500, 0.7500, 0.7500)  4 Ac 3.41, 4 Ca 3.41
Al (0.2500, 0.2500, 0.2500)  4 Ac 3.41, 4 Ca 3.41

Record 5
NaCaAcAl: relaxed, PBE.

- magnetic moment (μB/f.u.) = 0.000

Unit cell a=5.6574 b=5.6574 c=5.6574 alpha=60.00 beta=60.00 gamma=60.00
Last column: nearest neighbours and their distance in Å.
Atoms (fractional coordinates):
Na (0.0000, 0.0000, 0.0000)  4 Ac 3.46, 4 Ca 3.46
Ca (0.7500, 0.7500, 0.7500)  4 Na 3.46, 4 Al 3.46
Ac (0.2500, 0.2500, 0.2500)  4 Na 3.46, 4 Al 3.46
Al (0.5000, 0.5000, 0.5000)  4 Ac 3.46, 4 Ca 3.46

Record 6
CaAc2Al12Ni3: relaxed, PBE.

- magnetic moment (μB/f.u.) = 0.000

Unit cell a=8.3515 b=8.3515 c=8.3515 alpha=61.09 beta=61.09 gamma=61.09
Last column: nearest neighbours and their distance in Å.
Atoms (fractional coordinates):
Ca (0.0000, 0.0000, 0.0000)  12 Al 3.36-3.64
Ac (0.4089, 0.4089, 0.4089)  6 Al 3.22-3.42
Ac (0.5911, 0.5911, 0.5911)  6 Al 3.22-3.42
Al (0.1007, 0.7187, 0.7187)  2 Ni 2.23
Al (0.1571, 0.1571, 0.5134)  1 Ni 2.32
Al (0.1571, 0.5134, 0.1571)  1 Ni 2.32
Al (0.2813, 0.2813, 0.8993)  2 Ni 2.23
Al (0.2813, 0.8993, 0.2813)  2 Ni 2.23
Al (0.4866, 0.8429, 0.8429)  1 Ni 2.32
Al (0.5134, 0.1571, 0.1571)  1 Ni 2.32
Al (0.7187, 0.1007, 0.7187)  2 Ni 2.23
Al (0.7187, 0.7187, 0.1007)  2 Ni 2.23
Al (0.8429, 0.4866, 0.8429)  1 Ni 2.32
Al (0.8429, 0.8429, 0.4866)  1 Ni 2.32
Al (0.8993, 0.2813, 0.2813)  2 Ni 2.23
Ni (0.0000, 0.0000, 0.5000)  6 Al 2.23-2.32
Ni (0.0000, 0.5000, 0.0000)  6 Al 2.23-2.32
Ni (0.5000, 0.0000, 0.0000)  6 Al 2.23-2.32

no.,formation enthalpy at 0 K (eV/atom)
1,-0.019
2,-0.360
3,-0.413
4,-0.172
5,-0.051
6,-0.019